VASP calculation (PBE) on a geometry-optimized EuSi6 structure.

Output
space group	No. 229
ΔE_f (raw)	-0.01	eV/atom
distance to the lowest polymorph of the same formula	109	meV/atom

Lattice parameters (Å, degrees): 6.713 6.713 6.713 90.00 90.00 90.00
Fractional positions:
Eu 0.000 0.000 0.000
Eu 0.500 0.500 0.500
Si 0.000 0.250 0.500
Si 0.000 0.500 0.250
Si 0.000 0.500 0.750
Si 0.000 0.750 0.500
Si 0.250 0.000 0.500
Si 0.250 0.500 0.000
Si 0.500 0.000 0.250
Si 0.500 0.000 0.750
Si 0.500 0.250 0.000
Si 0.500 0.750 0.000
Si 0.750 0.000 0.500
Si 0.750 0.500 0.000

***

VASP calculation (PBE) on a geometry-optimized Pr3Lu structure.

Output
energy of formation from the pure elements	0.01	eV per atom
space group	No. 221
distance to the lowest polymorph of the same formula	0	meV/atom

Lattice parameters (Å, degrees): 5.156 5.156 5.156 90.00 90.00 90.00
Fractional positions:
Pr 0.000 0.000 0.500
Pr 0.000 0.500 0.000
Pr 0.500 0.000 0.000
Lu 0.500 0.500 0.500

***

VASP calculation (PBE) on a geometry-optimized PrDy2In3 structure.

Output
energy of formation from the pure elements	-0.48	eV per atom
space group	No. 123
distance to the lowest polymorph of the same formula	0	meV/atom

Lattice parameters (Å, degrees): 3.783 3.783 11.567 90.00 90.00 90.00
Fractional positions:
Pr 0.000 0.000 0.000
Dy 0.000 0.000 0.339
Dy 0.000 0.000 0.661
In 0.500 0.500 0.179
In 0.500 0.500 0.500
In 0.500 0.500 0.821

***

VASP calculation (PBE) on a geometry-optimized ThMnBr structure.

Output
space group	No. 12
ΔE_f (raw)	-0.78	eV/atom

Lattice parameters (Å, degrees): 7.084 3.925 12.260 90.00 101.91 90.00
Fractional positions:
Th 0.050 0.000 0.162
Th 0.450 0.500 0.838
Th 0.550 0.500 0.162
Th 0.950 0.000 0.838
Mn 0.172 0.500 0.982
Mn 0.328 0.000 0.018
Mn 0.672 0.000 0.982
Mn 0.828 0.500 0.018
Br 0.218 0.000 0.663
Br 0.282 0.500 0.337
Br 0.718 0.500 0.663
Br 0.782 0.000 0.337

***

VASP calculation (PBE) on a geometry-optimized HoAlGaHg structure.

Output
energy of formation from the pure elements	-0.22	eV per atom
space group	No. 216

Lattice parameters (Å, degrees): 6.977 6.977 6.977 90.00 90.00 90.00
Fractional positions:
Ho 0.000 0.000 0.000
Ho 0.000 0.500 0.500
Ho 0.500 0.000 0.500
Ho 0.500 0.500 0.000
Al 0.000 0.000 0.500
Al 0.000 0.500 0.000
Al 0.500 0.000 0.000
Al 0.500 0.500 0.500
Ga 0.250 0.250 0.250
Ga 0.250 0.750 0.750
Ga 0.750 0.250 0.750
Ga 0.750 0.750 0.250
Hg 0.250 0.250 0.750
Hg 0.250 0.750 0.250
Hg 0.750 0.250 0.250
Hg 0.750 0.750 0.750

***

VASP calculation (PBE) on a geometry-optimized AcPr2Hg structure.

Output
energy of formation from the pure elements	-0.23	eV per atom
space group	No. 123
distance to the lowest polymorph of the same formula	0	meV/atom

Lattice parameters (Å, degrees): 3.880 3.880 9.044 90.00 90.00 90.00
Fractional positions:
Ac 0.000 0.000 0.000
Pr 0.500 0.500 0.288
Pr 0.500 0.500 0.712
Hg 0.000 0.000 0.500

***

VASP calculation (PBE) on a geometry-optimized NdPu6N8 structure.

Output
space group	No. 147
ΔE_f (raw)	-1.00	eV/atom

Lattice parameters (Å, degrees): 8.892 8.892 3.492 90.00 90.00 120.00
Fractional positions:
Nd 0.000 0.000 0.000
Pu 0.145 0.705 0.734
Pu 0.295 0.440 0.734
Pu 0.440 0.145 0.266
Pu 0.560 0.855 0.734
Pu 0.705 0.560 0.266
Pu 0.855 0.295 0.266
N 0.016 0.302 0.768
N 0.285 0.984 0.768
N 0.302 0.285 0.232
N 0.333 0.667 0.236
N 0.667 0.333 0.764
N 0.698 0.715 0.768
N 0.715 0.016 0.232
N 0.984 0.698 0.232

***

VASP calculation (PBE) on a geometry-optimized Sm8Tm3Sc2 structure.

Output
energy of formation from the pure elements	0.22	eV per atom
space group	No. 10
distance to the lowest polymorph of the same formula	0	meV/atom

Lattice parameters (Å, degrees): 7.723 5.626 10.511 90.00 111.51 90.00
Fractional positions:
Sm 0.095 0.000 0.280
Sm 0.177 0.500 0.855
Sm 0.316 0.000 0.720
Sm 0.368 0.500 0.236
Sm 0.632 0.500 0.764
Sm 0.684 0.000 0.280
Sm 0.823 0.500 0.145
Sm 0.905 0.000 0.720
Tm 0.213 0.500 0.500
Tm 0.500 0.000 0.500
Tm 0.787 0.500 0.500
Sc 0.261 0.000 0.021
Sc 0.739 0.000 0.979